No. 1
VASP calculation (PBE-GGA) on a geometry-optimized Cs2Rb2Hf structure.

## Properties
Its space group is P4/mbm. The calculation puts the formation energy from the elements at 0.99 eV/atom.

Lattice parameters (Å, degrees): 9.890 9.890 7.399 90.00 90.00 90.00
Each line ends with the local moment (μB).
Atoms (fractional coordinates):
Hf (0.000, 0.000, 0.000)  1.49
Cs (0.650, 0.150, 0.000)  0.06
Cs (0.350, 0.850, 0.000)  0.06
Rb (0.310, 0.190, 0.500)  0.02
Rb (0.690, 0.810, 0.500)  0.02
Cs (0.150, 0.350, 0.000)  0.06
Cs (0.850, 0.650, 0.000)  0.06
Rb (0.810, 0.310, 0.500)  0.02
Hf (0.500, 0.500, 0.000)  1.49
Rb (0.190, 0.690, 0.500)  0.02



No. 2
VASP calculation (PBE-GGA) on a geometry-optimized Cs4Rb2Hf structure.

## Properties
Its space group is I4/mmm. The calculation puts the formation energy from the elements at 0.81 eV/atom.

Lattice parameters (Å, degrees): 7.379 7.379 12.795 73.24 73.24 90.00
Atoms (fractional coordinates):
Rb (0.622, 0.622, 0.756)
Cs (0.828, 0.828, 0.343)
Cs (0.172, 0.172, 0.657)
Cs (0.000, 0.500, 0.000)
Cs (0.500, 0.000, 0.000)
Rb (0.378, 0.378, 0.244)
Hf (0.000, 0.000, 0.000)



No. 3
VASP calculation (PBE-GGA) on a geometry-optimized Cs3RbHf structure.

## Properties
Its space group is Pm-3m. The calculation puts the formation energy from the elements at 0.95 eV/atom.

Lattice parameters (Å, degrees): 7.526 7.526 7.526 90.00 90.00 90.00
Each line ends with the local moment (μB).
Atoms (fractional coordinates):
Cs (0.000, 0.500, 0.000)  0.06
Cs (0.000, 0.000, 0.500)  0.05
Cs (0.500, 0.000, 0.000)  0.05
Hf (0.000, 0.000, 0.000)  1.55
Rb (0.500, 0.500, 0.500)  0.00



No. 4
VASP calculation (PBE-GGA) on a geometry-optimized CsRbHf2 structure.

## Properties
Its space group is Fm-3m. The calculation puts the formation energy from the elements at 1.96 eV/atom.

Lattice parameters (Å, degrees): 5.847 5.847 5.847 60.00 60.00 60.00
Atoms (fractional coordinates):
Cs (0.500, 0.500, 0.500)
Hf (0.750, 0.750, 0.750)
Rb (0.000, 0.000, 0.000)
Hf (0.250, 0.250, 0.250)



No. 5
VASP calculation (PBE-GGA) on a geometry-optimized CsRb2Hf3S8 structure.

## Properties
Its space group is R3m. As for the energy relative to the elements, uncorrected: -1350 meV per atom.

Lattice parameters (Å, degrees): 7.624 7.624 9.348 65.94 65.94 60.00
Each line ends with the local moment (μB).
Atoms (fractional coordinates):
Rb (0.140, 0.140, 0.579)  0.00
S (0.304, 0.763, 0.169)  0.08
Cs (0.855, 0.855, 0.434)  0.00
Hf (0.499, 0.499, 0.001)  -0.01
Rb (0.500, 0.500, 0.500)  0.00
Hf (0.499, 0.000, 0.001)  -0.01
S (0.763, 0.763, 0.169)  0.08
S (0.723, 0.723, 0.831)  0.00
S (0.696, 0.237, 0.830)  0.09
S (0.763, 0.304, 0.169)  0.08
Hf (0.000, 0.499, 0.001)  -0.01
S (0.237, 0.237, 0.830)  0.09
S (0.274, 0.274, 0.177)  0.00
S (0.237, 0.696, 0.830)  0.09



No. 6
VASP calculation (PBE-GGA) on a geometry-optimized Cs2HfRe2 structure.

## Properties
Its space group is I4/mmm. Its polymorph energy (0 for the lowest one) is 324 meV/atom. The calculation puts the formation energy from the elements at 1.77 eV/atom.

Lattice parameters (Å, degrees): 4.270 4.270 8.732 75.85 75.85 90.00
Atoms (fractional coordinates):
Hf (0.000, 0.000, 0.000)
Re (0.566, 0.566, 0.868)
Re (0.434, 0.434, 0.132)
Cs (0.250, 0.750, 0.500)
Cs (0.750, 0.250, 0.500)



No. 7
VASP calculation (PBE-GGA) on a geometry-optimized CsHfRe2 structure.

## Properties
Its space group is Fm-3m. Its polymorph energy (0 for the lowest one) is 15 meV/atom. The calculation puts the formation energy from the elements at 1.78 eV/atom.

Lattice parameters (Å, degrees): 4.840 4.840 4.840 60.00 60.00 60.00
Atoms (fractional coordinates):
Hf (0.500, 0.500, 0.500)
Re (0.750, 0.750, 0.750)
Re (0.250, 0.250, 0.250)
Cs (0.000, 0.000, 0.000)



No. 8
VASP calculation (PBE-GGA) on a geometry-optimized Cs3HfRe structure.

## Properties
Its space group is Pm-3m. Its polymorph energy (0 for the lowest one) is 0 meV/atom. The calculation puts the formation energy from the elements at 2.39 eV/atom.

Lattice parameters (Å, degrees): 6.843 6.843 6.843 90.00 90.00 90.00
Each line ends with the local moment (μB).
Atoms (fractional coordinates):
Cs (0.000, 0.500, 0.000)  0.08
Hf (0.000, 0.000, 0.000)  1.67
Re (0.500, 0.500, 0.500)  3.58
Cs (0.500, 0.000, 0.000)  0.06
Cs (0.000, 0.000, 0.500)  0.09